Record 1
Compound: Ca2FePdN
Source: the Alexandria database
Functional: PBE-GGA
Structure: relaxed

Output
- space group = P4/mmm (123)
- volume (A^3/atom) = 17.9
- ΔE_f (raw) (meV/atom) = -538

Lattice parameters (Å, degrees): 5.0252 5.0252 3.5496 90.00 90.00 90.00
Last column: nearest neighbours and their distance in Å.
Atoms (fractional coordinates):
Ca 0.0000 0.5000 0.0000  2 N 2.51
Ca 0.5000 0.0000 0.0000  2 N 2.51
Fe 0.0000 0.0000 0.5000  2 N 1.77
Pd 0.5000 0.5000 0.5000  8 Ca 3.08
N 0.0000 0.0000 0.0000  2 Fe 1.77

=====

Record 2
Compound: Mg4TcPt
Source: the Alexandria database
Functional: PBE-GGA
Structure: relaxed

Output
- energy relative to the elements (meV/atom) = 372
- space group = F-43m (216)
- volume (A^3/atom) = 17.7

Lattice parameters (Å, degrees): 5.3112 5.3112 5.3112 60.00 60.00 60.00
Last column: nearest neighbours and their distance in Å.
Atoms (fractional coordinates):
Mg 0.8762 0.3746 0.3746  6 Mg 2.65-2.66
Mg 0.3746 0.3746 0.8762  6 Mg 2.65-2.66
Mg 0.3746 0.8762 0.3746  6 Mg 2.65-2.66
Mg 0.3746 0.3746 0.3746  6 Mg 2.65-2.66
Tc 0.0000 0.0000 0.0000  12 Mg 3.11, 4 Pt 3.25
Pt 0.7500 0.7500 0.7500  12 Mg 3.11, 4 Tc 3.25

=====

Record 3
Compound: YTaCu3
Source: the Alexandria database
Functional: PBE-GGA
Structure: relaxed

Output
- energy relative to the elements (meV/atom) = 1611
- space group = Pm-3m (221)
- volume (A^3/atom) = 20.4

Lattice parameters (Å, degrees): 4.6709 4.6709 4.6709 90.00 90.00 90.00
Last column: nearest neighbours and their distance in Å.
Atoms (fractional coordinates):
Y 0.0000 0.0000 0.0000  6 Cu 2.34
Cu 0.0000 0.5000 0.0000  2 Y 2.34
Cu 0.0000 0.0000 0.5000  2 Y 2.34
Cu 0.5000 0.0000 0.0000  2 Y 2.34
Ta 0.5000 0.5000 0.5000  12 Cu 3.30

=====

Look up the volume of the first one.
17.9 A^3/atom

=====

volume of number 1 (Ca2FePdN)?
17.9 A^3/atom